DFT (PBE) results for a geometry-optimized SiAsIr2 structure.

The polymorph energy (0 for the lowest one) comes out at 269 meV/atom.

Cell: 4.132 4.132 6.817 Å, 90.00 90.00 90.00°
Space group I4/mmm (No. 139)
Symmetry-distinct sites (fractional):
Si1 0.000 0.000 0.000 (multiplicity 2)
As1 0.000 0.000 0.500 (multiplicity 2)
Ir1 0.000 0.500 0.250 (multiplicity 4)

=====

DFT (PBE) results for a geometry-optimized SiAs2Ir structure.

Cell: 4.547 3.064 4.764 Å, 90.00 104.18 90.00°
Space group P2/m (No. 10)
Symmetry-distinct sites (fractional):
Si1 0.000 0.000 0.000 (multiplicity 1)
As1 0.000 0.500 0.500 (multiplicity 1)
As2 0.500 0.000 0.500 (multiplicity 1)
Ir1 0.500 0.500 0.000 (multiplicity 1)

=====

DFT (PBE) results for a geometry-optimized SiAsIr2 structure.

The polymorph energy (0 for the lowest one) comes out at 218 meV/atom.

Cell: 2.881 2.881 7.746 Å, 90.00 90.00 90.00°
Space group P4mm (No. 99)
Symmetry-distinct sites (fractional):
Si1 0.000 0.000 0.000 (multiplicity 1)
As1 0.500 0.500 0.343 (multiplicity 1)
Ir1 0.000 0.000 0.544 (multiplicity 1)
Ir2 0.500 0.500 0.815 (multiplicity 1)

=====

DFT (PBE) results for a geometry-optimized SiAs2Ir structure.

Cell: 3.827 3.827 4.524 Å, 90.00 90.00 90.00°
Space group P4/mmm (No. 123)
Symmetry-distinct sites (fractional):
Si1 0.000 0.000 0.000 (multiplicity 1)
As1 0.000 0.500 0.500 (multiplicity 2)
Ir1 0.500 0.500 0.000 (multiplicity 1)

=====

DFT (PBE) results for a geometry-optimized SiAs2Ir structure.

Cell: 2.868 4.978 9.421 Å, 90.00 90.00 90.00°
Space group Cmmm (No. 65)
Symmetry-distinct sites (fractional):
Si1 0.000 0.000 0.000 (multiplicity 2)
As1 0.000 0.500 0.268 (multiplicity 4)
Ir1 0.000 0.000 0.500 (multiplicity 2)

=====

DFT (PBE) results for a geometry-optimized SiAsIr2 structure.

The polymorph energy (0 for the lowest one) comes out at 50 meV/atom.

Cell: 2.914 2.914 6.946 Å, 90.00 90.00 90.00°
Space group P4/mmm (No. 123)
Symmetry-distinct sites (fractional):
Si1 0.000 0.000 0.000 (multiplicity 1)
As1 0.000 0.000 0.500 (multiplicity 1)
Ir1 0.500 0.500 0.207 (multiplicity 2)

=====

DFT (PBE) results for a geometry-optimized SiAs2Ir structure.

Cell: 5.129 10.133 3.616 Å, 90.00 134.36 90.00°
Space group C2/m (No. 12)
Symmetry-distinct sites (fractional):
Si1 0.000 0.000 0.000 (multiplicity 2)
As1 0.250 0.250 0.000 (multiplicity 4)
Ir1 0.000 0.500 0.000 (multiplicity 2)

=====

DFT (PBE) results for a geometry-optimized SiAs2Ir structure.

Cell: 4.550 8.897 3.955 Å, 90.00 90.00 90.00°
Space group Cmmm (No. 65)
Symmetry-distinct sites (fractional):
Si1 0.000 0.000 0.000 (multiplicity 2)
As1 0.000 0.321 0.500 (multiplicity 4)
Ir1 0.000 0.500 0.000 (multiplicity 2)

=====

DFT (PBE) results for a geometry-optimized SiAsIr2 structure.

The polymorph energy (0 for the lowest one) comes out at 457 meV/atom.

Cell: 5.674 8.486 2.894 Å, 90.00 119.15 90.00°
Space group C2/m (No. 12)
Symmetry-distinct sites (fractional):
Si1 0.000 0.000 0.000 (multiplicity 2)
As1 0.000 0.500 0.000 (multiplicity 2)
Ir1 0.250 0.250 0.000 (multiplicity 4)

=====

DFT (PBE) results for a geometry-optimized SiAs2Ir structure.

Cell: 3.489 3.659 11.647 Å, 90.00 90.00 90.00°
Space group Immm (No. 71)
Symmetry-distinct sites (fractional):
Si1 0.000 0.000 0.000 (multiplicity 2)
As1 0.000 0.500 0.340 (multiplicity 4)
Ir1 0.000 0.000 0.500 (multiplicity 2)

=====

DFT (PBE) results for a geometry-optimized SiAsIr structure.

The polymorph energy (0 for the lowest one) comes out at 506 meV/atom.

Cell: 4.4703 4.4703 2.7703 Å, 90.00 90.00 120.00°
Space group P3m1 (No. 156)
Symmetry-distinct sites (fractional):
Si1 0.0000 0.0000 0.0000 (multiplicity 1)
As1 0.6667 0.3333 0.8510 (multiplicity 1)
Ir1 0.3333 0.6667 0.9287 (multiplicity 1)

=====

DFT (PBE) results for a geometry-optimized SiAsIr2 structure.

The polymorph energy (0 for the lowest one) comes out at 348 meV/atom.

Cell: 2.884 4.699 9.131 Å, 90.00 90.00 90.00°
Space group Immm (No. 71)
Symmetry-distinct sites (fractional):
Si1 0.000 0.000 0.000 (multiplicity 2)
As1 0.000 0.000 0.500 (multiplicity 2)
Ir1 0.000 0.500 0.294 (multiplicity 4)

=====

E_form (uncorrected) per entry: 0.14 1.45 -0.06 1.76 1.56 -0.74 0.90 -0.39 0.89 -0.03 0.36 0.45 eV per formula unit
Spin magnetization per entry: 0.00 0.00 0.00 0.00 0.00 0.00 0.00 0.00 0.00 0.00 0.00 0.00 μB/atom